This record from Alexandria describes a relaxed structure of SrCe2MgTl4. The functional is PBE.

Unit cell a=5.4282 b=5.4282 c=27.8285 alpha=90.00 beta=90.00 gamma=120.00
Space group R-3m (No. 166, hexagonal axes)
Symmetry-distinct sites (fractional):
Sr (0.0000, 0.0000, 0.0000)
Ce (0.0000, 0.0000, 0.2416)
Mg (0.0000, 0.0000, 0.5000)
Tl (0.0000, 0.0000, 0.1256)
Tl (0.0000, 0.0000, 0.3800)

V = 29.59 Å³/atom
DFT formation energy = -230 meV per atom

This record from Alexandria describes a relaxed structure of SrCeMgZn. The functional is PBE.

Unit cell a=7.767 b=7.767 c=7.767 alpha=90.00 beta=90.00 gamma=90.00
Space group F-43m (No. 216)
Symmetry-distinct sites (fractional):
Sr (0.000, 0.000, 0.000)
Ce (0.000, 0.000, 0.500)
Mg (0.250, 0.250, 0.250)
Zn (0.250, 0.250, 0.750)

V = 29.28 Å³/atom
DFT formation energy = 16 meV per atom

This record from Alexandria describes a relaxed structure of Ce2MgTa. The functional is PBE.

Unit cell a=3.0263 b=3.0263 c=35.2966 alpha=90.00 beta=90.00 gamma=120.00
Space group R-3m (No. 166, hexagonal axes)
Symmetry-distinct sites (fractional):
Ce (0.0000, 0.0000, 0.0813)
Mg (0.0000, 0.0000, 0.5000)
Ta (0.0000, 0.0000, 0.0000)

V = 23.33 Å³/atom
DFT formation energy = 356 meV per atom

This record from Alexandria describes a relaxed structure of TbCeMg6. The functional is PBE.

Unit cell a=6.7282 b=6.7282 c=5.2055 alpha=90.00 beta=90.00 gamma=120.00
Space group P-6m2 (No. 187)
Symmetry-distinct sites (fractional):
Tb (0.0000, 0.0000, 0.0000)
Ce (0.3333, 0.6667, 0.5000)
Mg (0.3391, 0.1695, 0.5000)
Mg (0.5033, 0.0066, 0.0000)

V = 25.51 Å³/atom
DFT formation energy = -26 meV per atom

This record from Alexandria describes a relaxed structure of Tb2CeMg3. The functional is PBE.

Unit cell a=3.789 b=3.789 c=11.542 alpha=90.00 beta=90.00 gamma=90.00
Space group P4/mmm (No. 123)
Symmetry-distinct sites (fractional):
Tb (0.000, 0.000, 0.164)
Ce (0.000, 0.000, 0.500)
Mg (0.500, 0.500, 0.000)
Mg (0.500, 0.500, 0.328)

V = 27.62 Å³/atom
DFT formation energy = -28 meV per atom

This record from Alexandria describes a relaxed structure of Tb2CeMg. The functional is PBE.

Unit cell a=7.777 b=7.777 c=7.777 alpha=90.00 beta=90.00 gamma=90.00
Space group Fm-3m (No. 225)
Symmetry-distinct sites (fractional):
Tb (0.250, 0.250, 0.250)
Ce (0.000, 0.000, 0.000)
Mg (0.000, 0.000, 0.500)

V = 29.39 Å³/atom
DFT formation energy = 149 meV per atom

This record from Alexandria describes a relaxed structure of Tb3CeMg2. The functional is PBE.

Unit cell a=3.576 b=3.576 c=13.340 alpha=90.00 beta=90.00 gamma=90.00
Space group P4/mmm (No. 123)
Symmetry-distinct sites (fractional):
Tb (0.000, 0.000, 0.000)
Tb (0.000, 0.000, 0.323)
Ce (0.500, 0.500, 0.500)
Mg (0.500, 0.500, 0.161)

V = 28.43 Å³/atom
DFT formation energy = -19 meV per atom

This record from Alexandria describes a relaxed structure of TbCeMg4. The functional is PBE.

Unit cell a=8.558 b=8.558 c=8.558 alpha=90.00 beta=90.00 gamma=90.00
Space group F-43m (No. 216)
Symmetry-distinct sites (fractional):
Tb (0.000, 0.000, 0.000)
Ce (0.250, 0.250, 0.250)
Mg (0.125, 0.125, 0.625)

V = 26.11 Å³/atom
DFT formation energy = -30 meV per atom

This record from Alexandria describes a relaxed structure of TbCe2Mg. The functional is PBE.

Unit cell a=3.2740 b=3.2740 c=37.5719 alpha=90.00 beta=90.00 gamma=120.00
Space group R-3m (No. 166, hexagonal axes)
Symmetry-distinct sites (fractional):
Tb (0.0000, 0.0000, 0.0000)
Ce (0.0000, 0.0000, 0.4122)
Mg (0.0000, 0.0000, 0.5000)

V = 29.07 Å³/atom
DFT formation energy = 254 meV per atom

This record from Alexandria describes a relaxed structure of Tb14CeMg. The functional is PBE.

Unit cell a=7.063 b=7.063 c=10.030 alpha=90.00 beta=90.00 gamma=90.00
Space group P4/mmm (No. 123)
Symmetry-distinct sites (fractional):
Tb (0.000, 0.000, 0.000)
Tb (0.000, 0.500, 0.000)
Tb (0.000, 0.500, 0.500)
Tb (0.248, 0.248, 0.252)
Tb (0.500, 0.500, 0.000)
Ce (0.000, 0.000, 0.500)
Mg (0.500, 0.500, 0.500)

V = 31.27 Å³/atom
DFT formation energy = 24 meV per atom

This record from Alexandria describes a relaxed structure of Tb2CeMg. The functional is PBE.

Unit cell a=7.802 b=7.802 c=7.802 alpha=90.00 beta=90.00 gamma=90.00
Space group F-43m (No. 216)
Symmetry-distinct sites (fractional):
Tb (0.000, 0.000, 0.000)
Tb (0.250, 0.250, 0.250)
Ce (0.250, 0.250, 0.750)
Mg (0.000, 0.000, 0.500)

V = 29.69 Å³/atom
DFT formation energy = 99 meV per atom

This record from Alexandria describes a relaxed structure of TbCeMg2. The functional is PBE.

Unit cell a=3.2808 b=3.2808 c=34.6671 alpha=90.00 beta=90.00 gamma=120.00
Space group R-3m (No. 166, hexagonal axes)
Symmetry-distinct sites (fractional):
Tb (0.0000, 0.0000, 0.0000)
Ce (0.0000, 0.0000, 0.5000)
Mg (0.0000, 0.0000, 0.2506)

V = 26.93 Å³/atom
DFT formation energy = 62 meV per atom

This record from Alexandria describes a relaxed structure of Tb2CeMg. The functional is PBE.

Unit cell a=3.529 b=3.529 c=9.281 alpha=90.00 beta=90.00 gamma=90.00
Space group P4/mmm (No. 123)
Symmetry-distinct sites (fractional):
Tb (0.000, 0.000, 0.243)
Ce (0.500, 0.500, 0.500)
Mg (0.500, 0.500, 0.000)

V = 28.90 Å³/atom
DFT formation energy = 1 meV per atom

This record from Alexandria describes a relaxed structure of TbCeMg6. The functional is PBE.

Unit cell a=6.752 b=6.752 c=4.557 alpha=90.00 beta=90.00 gamma=90.00
Space group P4/mmm (No. 123)
Symmetry-distinct sites (fractional):
Tb (0.000, 0.000, 0.000)
Ce (0.500, 0.500, 0.000)
Mg (0.000, 0.500, 0.000)
Mg (0.248, 0.248, 0.500)

V = 25.96 Å³/atom
DFT formation energy = 5 meV per atom

This record from Alexandria describes a relaxed structure of Tb4CeMg5. The functional is PBE.

Unit cell a=3.791 b=3.791 c=19.144 alpha=90.00 beta=90.00 gamma=90.00
Space group P4/mmm (No. 123)
Symmetry-distinct sites (fractional):
Tb (0.000, 0.000, 0.099)
Tb (0.000, 0.000, 0.298)
Ce (0.000, 0.000, 0.500)
Mg (0.500, 0.500, 0.000)
Mg (0.500, 0.500, 0.199)
Mg (0.500, 0.500, 0.396)

V = 27.52 Å³/atom
DFT formation energy = -51 meV per atom

This record from Alexandria describes a relaxed structure of Tb2CeMg. The functional is PBE.

Unit cell a=4.928 b=4.928 c=4.854 alpha=90.00 beta=90.00 gamma=90.00
Space group P4/mmm (No. 123)
Symmetry-distinct sites (fractional):
Tb (0.000, 0.500, 0.000)
Ce (0.000, 0.000, 0.500)
Mg (0.500, 0.500, 0.500)

V = 29.47 Å³/atom
DFT formation energy = 74 meV per atom

This record from Alexandria describes a relaxed structure of TbCe2Mg. The functional is PBE.

Unit cell a=3.310 b=3.310 c=10.399 alpha=90.00 beta=90.00 gamma=90.00
Space group P4/mmm (No. 123)
Symmetry-distinct sites (fractional):
Tb (0.000, 0.000, 0.000)
Ce (0.500, 0.500, 0.258)
Mg (0.000, 0.000, 0.500)

V = 28.48 Å³/atom
DFT formation energy = 96 meV per atom

This record from Alexandria describes a relaxed structure of TbCeMg14. The functional is PBE.

Unit cell a=6.919 b=6.919 c=8.089 alpha=90.00 beta=90.00 gamma=90.00
Space group P4/mmm (No. 123)
Symmetry-distinct sites (fractional):
Tb (0.000, 0.000, 0.000)
Ce (0.500, 0.500, 0.000)
Mg (0.000, 0.000, 0.500)
Mg (0.000, 0.500, 0.000)
Mg (0.000, 0.500, 0.500)
Mg (0.248, 0.248, 0.263)
Mg (0.500, 0.500, 0.500)

V = 24.20 Å³/atom
DFT formation energy = -8 meV per atom

This record from Alexandria describes a relaxed structure of TbCeMg2. The functional is PBE.

Unit cell a=7.629 b=7.629 c=7.629 alpha=90.00 beta=90.00 gamma=90.00
Space group Fm-3m (No. 225)
Symmetry-distinct sites (fractional):
Tb (0.000, 0.000, 0.000)
Ce (0.000, 0.000, 0.500)
Mg (0.250, 0.250, 0.250)

V = 27.75 Å³/atom
DFT formation energy = -6 meV per atom

This record from Alexandria describes a relaxed structure of TbCeMg2. The functional is PBE.

Unit cell a=5.437 b=5.437 c=3.756 alpha=90.00 beta=90.00 gamma=90.00
Space group P4/mmm (No. 123)
Symmetry-distinct sites (fractional):
Tb (0.000, 0.000, 0.000)
Ce (0.500, 0.500, 0.000)
Mg (0.000, 0.500, 0.500)

V = 27.75 Å³/atom
DFT formation energy = 2 meV per atom